(1)
VASP calculation (PBE-GGA) on a relaxed structure of VCrPt.

Cell lengths 2.6674, 4.7524, 6.8312 Å; angles 105.29, 96.90, 92.74 degrees
Last column: nearest neighbours and their distance in Å.
Positions (direct):
Cr 0.8286 0.7813 0.9850  1 Cr 2.18, 1 V 2.41
Pt 0.0936 0.3895 0.6753  3 Cr 2.62-2.89, 6 V 2.63-2.91, 3 Pt 2.67-2.86
Pt 0.9064 0.6105 0.3247  3 Cr 2.62-2.89, 6 V 2.63-2.91, 3 Pt 2.67-2.86
Cr 0.1714 0.2187 0.0150  1 Cr 2.18, 1 V 2.41
V 0.5276 0.8964 0.6703  1 Cr 2.41, 2 Pt 2.63-2.66, 2 V 2.67
V 0.4724 0.1036 0.3297  1 Cr 2.41, 2 Pt 2.63-2.66, 2 V 2.67

Values from the calculation:
* relative energy among the computed polymorphs: 34 meV/atom



(2)
VASP calculation (PBE-GGA) on a relaxed structure of ZrPaCd4.

Cell lengths 5.7892, 5.7892, 5.7892 Å; angles 60.00, 60.00, 60.00 degrees
Last column: nearest neighbours and their distance in Å.
Positions (direct):
Cd 0.6254 0.6254 0.6254  6 Cd 2.89-2.90
Cd 0.6254 0.1238 0.6254  6 Cd 2.89-2.90
Cd 0.1238 0.6254 0.6254  6 Cd 2.89-2.90
Cd 0.6254 0.6254 0.1238  6 Cd 2.89-2.90
Pa 0.2500 0.2500 0.2500  12 Cd 3.40, 4 Zr 3.55
Zr 0.0000 0.0000 0.0000  12 Cd 3.39, 4 Pa 3.55



(3)
VASP calculation (PBE-GGA) on a relaxed structure of TmSF.

Cell lengths 3.7696, 3.7696, 4.6992 Å; angles 113.65, 113.65, 90.00 degrees
Last column: nearest neighbours and their distance in Å.
Positions (direct):
Tm 0.6245 0.6245 0.2491  1 F 2.06
F 0.3588 0.3588 0.7177  1 Tm 2.06
S 0.0166 0.0166 0.0333  5 F 2.65-2.93, 4 Tm 2.79

Values from the calculation:
* ΔE_f (raw): -2.4913 eV per atom



(4)
VASP calculation (PBE-GGA) on a relaxed structure of ZrBe2Pb.

Cell lengths 7.0682, 7.0682, 5.7835 Å; angles 52.33, 52.33, 90.00 degrees
Last column: nearest neighbours and their distance in Å.
Positions (direct):
Be 0.6392 0.1250 0.2500  2 Pb 2.54, 2 Zr 2.67
Be 0.1108 0.6250 0.2500  2 Pb 2.54, 2 Zr 2.67
Pb 0.0000 0.0000 0.0000  4 Be 2.54
Be 0.8750 0.8892 0.7500  2 Pb 2.54, 2 Zr 2.67
Zr 0.2500 0.7500 0.5000  4 Be 2.67, 2 Pb 2.91
Be 0.3750 0.3608 0.7500  2 Pb 2.54, 2 Zr 2.67
Zr 0.5000 0.5000 0.0000  4 Be 2.67, 2 Pb 2.91
Pb 0.7500 0.2500 0.5000  4 Be 2.54



| no. | raw total energy (eV per atom) |
| --- | --- |
| 1 | -8.4844 |
| 2 | -3.5474 |
| 3 | -5.9814 |
| 4 | -4.4099 |